First-principles (PBE-GGA) data for a geometry-optimized Pr5HgSb2 structure, as listed in Alexandria.

Volume, Å³/atom: 32.2
Raw total energy, eV per formula unit: -36.77
Uncorrected formation energy, meV per atom: -541
ρ, g cm⁻³: 7.403
Total magnetization, Bohr magnetons per cell: 0.00

Unit cell a=5.698 b=10.107 c=17.895 alpha=90.00 beta=90.00 gamma=90.00
Space group Cmcm (No. 63)
Inequivalent atoms, fractional coordinates:
1 Pr 0.000 0.089 0.081 [8 per cell]
2 Pr 0.000 0.280 0.750 [4 per cell]
3 Pr 0.000 0.406 0.100 [8 per cell]
4 Hg 0.000 0.038 0.250 [4 per cell]
5 Sb 0.000 0.259 0.572 [8 per cell]

First-principles (PBE-GGA) data for a geometry-optimized PrHg2Sb structure, as listed in Alexandria.

Volume, Å³/atom: 26.9
Raw total energy, eV per formula unit: -11.64
Uncorrected formation energy, meV per atom: -533
ρ, g cm⁻³: 10.243
Total magnetization, Bohr magnetons per cell: 0.00

Unit cell a=4.574 b=4.574 c=5.145 alpha=90.00 beta=90.00 gamma=90.00
Space group P4/mmm (No. 123)
Inequivalent atoms, fractional coordinates:
1 Pr 0.000 0.000 0.000 [1 per cell]
2 Hg 0.000 0.500 0.500 [2 per cell]
3 Sb 0.500 0.500 0.000 [1 per cell]

First-principles (PBE-GGA) data for a geometry-optimized PrHgSb2 structure, as listed in Alexandria.

Volume, Å³/atom: 27.8
Raw total energy, eV per formula unit: -15.53
Uncorrected formation energy, meV per atom: -551
ρ, g cm⁻³: 8.721
Offset from the most stable computed form, meV/atom: 0.0
Total magnetization, Bohr magnetons per cell: 0.00

Unit cell a=4.527 b=4.527 c=10.870 alpha=90.00 beta=90.00 gamma=90.00
Space group P4/nmm (No. 129, origin choice 2)
Inequivalent atoms, fractional coordinates:
1 Pr 0.250 0.250 0.231 [2 per cell]
2 Hg 0.250 0.750 0.500 [2 per cell]
3 Sb 0.250 0.250 0.716 [2 per cell]
4 Sb 0.250 0.750 0.000 [2 per cell]

First-principles (PBE-GGA) data for a geometry-optimized Pr3HgSb structure, as listed in Alexandria.

Volume, Å³/atom: 34.1
Raw total energy, eV per formula unit: -20.05
Uncorrected formation energy, meV per atom: -258
ρ, g cm⁻³: 7.252
Total magnetization, Bohr magnetons per cell: 0.02

Unit cell a=8.244 b=16.424 c=5.040 alpha=90.00 beta=90.00 gamma=90.00
Space group Cmmm (No. 65)
Inequivalent atoms, fractional coordinates:
1 Pr 0.000 0.173 0.000 [4 per cell]
2 Pr 0.179 0.500 0.500 [4 per cell]
3 Pr 0.250 0.250 0.500 [4 per cell]
4 Hg 0.000 0.086 0.500 [4 per cell]
5 Sb 0.000 0.369 0.000 [4 per cell]

First-principles (PBE-GGA) data for a geometry-optimized PrHg2Sb structure, as listed in Alexandria.

Volume, Å³/atom: 30.3
Raw total energy, eV per formula unit: -8.96
Uncorrected formation energy, meV per atom: 135
ρ, g cm⁻³: 9.107
Total magnetization, Bohr magnetons per cell: 0.00

Unit cell a=3.4582 b=3.4582 c=35.0603 alpha=90.00 beta=90.00 gamma=120.00
Space group R-3m (No. 166, hexagonal axes)
Inequivalent atoms, fractional coordinates:
1 Pr 0.0000 0.0000 0.0000 [3 per cell]
2 Hg 0.0000 0.0000 0.0896 [6 per cell]
3 Sb 0.0000 0.0000 0.5000 [3 per cell]

First-principles (PBE-GGA) data for a geometry-optimized Pr12Hg6Sb structure, as listed in Alexandria.

Volume, Å³/atom: 37.2
Raw total energy, eV per formula unit: -65.93
Uncorrected formation energy, meV per atom: -139
ρ, g cm⁻³: 7.081
Total magnetization, Bohr magnetons per cell: 0.05

Unit cell a=13.8183 b=13.8183 c=12.8321 alpha=90.00 beta=90.00 gamma=120.00
Space group R-3 (No. 148, hexagonal axes)
Inequivalent atoms, fractional coordinates:
1 Pr 0.0323 0.2087 0.3922 [18 per cell]
2 Pr 0.0421 0.2154 0.8845 [18 per cell]
3 Hg 0.0439 0.2624 0.6471 [18 per cell]
4 Sb 0.0000 0.0000 0.0000 [3 per cell]

First-principles (PBE-GGA) data for a geometry-optimized PrHgSb2 structure, as listed in Alexandria.

Volume, Å³/atom: 41.3
Raw total energy, eV per formula unit: -14.24
Uncorrected formation energy, meV per atom: -228
ρ, g cm⁻³: 5.877
Offset from the most stable computed form, meV/atom: 322.8
Total magnetization, Bohr magnetons per cell: 0.00

Unit cell a=4.6113 b=4.6113 c=26.9270 alpha=90.00 beta=90.00 gamma=120.00
Space group R-3m (No. 166, hexagonal axes)
Inequivalent atoms, fractional coordinates:
1 Pr 0.0000 0.0000 0.0000 [3 per cell]
2 Hg 0.0000 0.0000 0.5000 [3 per cell]
3 Sb 0.0000 0.0000 0.3997 [6 per cell]

First-principles (PBE-GGA) data for a geometry-optimized PrHgSb2 structure, as listed in Alexandria.

Volume, Å³/atom: 27.5
Raw total energy, eV per formula unit: -15.43
Uncorrected formation energy, meV per atom: -527
ρ, g cm⁻³: 8.839
Offset from the most stable computed form, meV/atom: 24.0
Total magnetization, Bohr magnetons per cell: 0.00

Unit cell a=4.758 b=4.758 c=4.855 alpha=90.00 beta=90.00 gamma=90.00
Space group P4/mmm (No. 123)
Inequivalent atoms, fractional coordinates:
1 Pr 0.000 0.000 0.000 [1 per cell]
2 Hg 0.500 0.500 0.000 [1 per cell]
3 Sb 0.000 0.500 0.500 [2 per cell]

First-principles (PBE-GGA) data for a geometry-optimized Pr6HgSb5 structure, as listed in Alexandria.

Volume, Å³/atom: 33.4
Raw total energy, eV per formula unit: -62.05
Uncorrected formation energy, meV per atom: -1038
ρ, g cm⁻³: 6.865
Total magnetization, Bohr magnetons per cell: 0.00

Unit cell a=7.900 b=13.610 c=7.888 alpha=90.00 beta=109.29 gamma=90.00
Space group C2/m (No. 12)
Inequivalent atoms, fractional coordinates:
1 Pr 0.240 0.000 0.256 [4 per cell]
2 Pr 0.241 0.173 0.745 [8 per cell]
3 Hg 0.000 0.500 0.000 [2 per cell]
4 Sb 0.000 0.000 0.500 [2 per cell]
5 Sb 0.000 0.167 0.000 [4 per cell]
6 Sb 0.000 0.336 0.500 [4 per cell]

First-principles (PBE-GGA) data for a geometry-optimized Pr3Hg2Sb structure, as listed in Alexandria.

Volume, Å³/atom: 29.2
Raw total energy, eV per formula unit: -23.01
Uncorrected formation energy, meV per atom: -658
ρ, g cm⁻³: 8.963
Total magnetization, Bohr magnetons per cell: 0.00

Unit cell a=5.336 b=16.285 c=4.033 alpha=90.00 beta=90.00 gamma=90.00
Space group Cmmm (No. 65)
Inequivalent atoms, fractional coordinates:
1 Pr 0.000 0.000 0.000 [2 per cell]
2 Pr 0.000 0.338 0.000 [4 per cell]
3 Hg 0.000 0.180 0.500 [4 per cell]
4 Sb 0.000 0.500 0.500 [2 per cell]

First-principles (PBE-GGA) data for a geometry-optimized Pr5Hg2Sb structure, as listed in Alexandria.

Volume, Å³/atom: 31.3
Raw total energy, eV per formula unit: -32.76
Uncorrected formation energy, meV per atom: -516
ρ, g cm⁻³: 8.152
Total magnetization, Bohr magnetons per cell: 0.01

Unit cell a=8.236 b=8.236 c=14.742 alpha=90.00 beta=90.00 gamma=90.00
Space group I4/mcm (No. 140)
Inequivalent atoms, fractional coordinates:
1 Pr 0.000 0.000 0.000 [4 per cell]
2 Pr 0.158 0.342 0.153 [16 per cell]
3 Hg 0.134 0.366 0.500 [8 per cell]
4 Sb 0.000 0.000 0.250 [4 per cell]

First-principles (PBE-GGA) data for a geometry-optimized Pr4HgSb structure, as listed in Alexandria.

Volume, Å³/atom: 30.9
Raw total energy, eV per formula unit: -26.37
Uncorrected formation energy, meV per atom: -471
ρ, g cm⁻³: 7.931
Total magnetization, Bohr magnetons per cell: 0.00

Unit cell a=4.102 b=4.102 c=11.024 alpha=90.00 beta=90.00 gamma=90.00
Space group P4/mmm (No. 123)
Inequivalent atoms, fractional coordinates:
1 Pr 0.000 0.000 0.146 [2 per cell]
2 Pr 0.500 0.500 0.342 [2 per cell]
3 Hg 0.000 0.000 0.500 [1 per cell]
4 Sb 0.500 0.500 0.000 [1 per cell]